1.
TaCoAsO | PBE with a Hubbard U | optimized geometry

abc: 4.038 4.038 9.278
angles: 90.00 90.00 90.00
Site moments in Bohr magnetons follow the coordinates.
Positions (direct):
Co1 0.000 0.500 0.022  2.71
Ta1 0.000 0.000 0.500  0.00
Ta2 0.500 0.500 0.500  0.00
O1 0.000 0.000 0.000  0.20
As1 0.500 0.000 0.676  0.01
As2 0.000 0.500 0.324  0.01
O2 0.500 0.500 0.000  0.20
Co2 0.500 0.000 0.978  2.71

Properties
Energy above the lowest structure with this stoichiometry (eV per formula unit): 1.78
Crystal system: tetragonal
Theoretical density (g/cm3): 7.3
SG: P4/nmm
Raw total energy (eV per cell): -55.60



2.
CoTeAsO | PBE with a Hubbard U | optimized geometry

abc: 4.475 5.978 5.865
angles: 90.00 90.00 90.00
Site moments in Bohr magnetons follow the coordinates.
Positions (direct):
Co1 0.500 0.373 0.035  2.50
Te1 0.000 0.245 0.423  -0.03
Co2 0.500 0.627 0.535  2.52
Te2 0.000 0.755 0.923  -0.02
As1 0.000 0.221 0.916  0.01
O1 0.500 0.672 0.880  0.10
As2 0.000 0.779 0.416  0.01
O2 0.500 0.328 0.380  0.09

Properties
Energy above the lowest structure with this stoichiometry (eV per formula unit): 0.00
Crystal system: orthorhombic
Theoretical density (g/cm3): 5.9
SG: Pmc2_1
Raw total energy (eV per cell): -36.60



3.
CoTeAsO | PBE with a Hubbard U | optimized geometry

abc: 3.719 3.719 9.153
angles: 90.00 90.00 90.00
Site moments in Bohr magnetons follow the coordinates.
Positions (direct):
As1 0.000 0.500 0.316  -0.01
O1 0.500 0.500 0.000  0.03
Te1 0.000 0.500 0.851  0.06
Co1 0.000 0.000 0.500  1.93
O2 0.000 0.000 0.000  0.03
Te2 0.500 0.000 0.149  0.06
Co2 0.500 0.500 0.500  1.93
As2 0.500 0.000 0.684  -0.01

Properties
Energy above the lowest structure with this stoichiometry (eV per formula unit): 0.90
Crystal system: tetragonal
Theoretical density (g/cm3): 7.3
SG: P4/nmm
Raw total energy (eV per cell): -34.80



4.
TlCoAsO | PBE with a Hubbard U | optimized geometry

abc: 3.991 3.991 8.632
angles: 90.00 90.00 90.00
Site moments in Bohr magnetons follow the coordinates.
Positions (direct):
As1 0.500 0.000 0.659  -0.11
Tl1 0.500 0.000 0.132  0.02
O1 0.000 0.000 0.000  0.03
Tl2 0.000 0.500 0.868  0.02
As2 0.000 0.500 0.341  -0.11
Co1 0.000 0.000 0.500  1.89
O2 0.500 0.500 0.000  0.03
Co2 0.500 0.500 0.500  1.89

Properties
Energy above the lowest structure with this stoichiometry (eV per formula unit): 0.00
Crystal system: tetragonal
Theoretical density (g/cm3): 8.6
SG: P4/nmm
Raw total energy (eV per cell): -33.73



5.
TlCoAsO | PBE with a Hubbard U | optimized geometry

abc: 4.211 4.211 9.435
angles: 90.00 90.00 90.00
Positions (direct):
As1 0.250 0.250 0.698
O1 0.750 0.250 0.000
Co1 0.250 0.250 0.999
Co2 0.750 0.750 0.001
Tl1 0.750 0.250 0.500
Tl2 0.250 0.750 0.500
As2 0.750 0.750 0.302
O2 0.250 0.750 0.000

Properties
Energy above the lowest structure with this stoichiometry (eV per formula unit): 0.42
Crystal system: tetragonal
Theoretical density (g/cm3): 7.0
SG: P4/nmm
Raw total energy (eV per cell): -32.90



6.
YCoAsO | PBE with a Hubbard U | optimized geometry

abc: 4.323 3.985 7.169
angles: 90.00 90.00 90.00
Site moments in Bohr magnetons follow the coordinates.
Positions (direct):
As1 0.000 0.249 0.270  0.02
Co1 0.000 0.750 0.446  1.81
Y1 0.500 0.250 0.605  0.00
O1 0.500 0.750 0.433  0.02
Co2 0.000 0.250 0.946  1.81
O2 0.500 0.250 0.933  0.02
As2 0.000 0.751 0.770  0.02
Y2 0.500 0.750 0.105  0.00

Properties
Crystal system: orthorhombic
Theoretical density (g/cm3): 6.4
SG: Amm2
Raw total energy (eV per cell): -52.86



7.
ZnCoAsO | PBE with a Hubbard U | optimized geometry

abc: 3.274 6.394 6.059
angles: 90.00 90.00 90.00
Site moments in Bohr magnetons follow the coordinates.
Positions (direct):
Zn1 0.000 0.801 0.966  0.00
Co1 0.500 0.609 0.545  2.12
O1 0.500 0.351 0.366  0.04
Co2 0.500 0.391 0.045  2.15
Zn2 0.000 0.199 0.466  0.00
O2 0.500 0.649 0.866  0.04
As1 0.000 0.175 0.877  -0.15
As2 0.000 0.825 0.377  -0.15

Properties
Crystal system: orthorhombic
Theoretical density (g/cm3): 5.6
SG: Pmc2_1
Raw total energy (eV per cell): -35.41



8.
ZrCoAsO | PBE with a Hubbard U | optimized geometry

abc: 3.570 5.948 6.310
angles: 90.00 90.00 90.00
Site moments in Bohr magnetons follow the coordinates.
Positions (direct):
Co1 0.000 0.141 0.463  2.11
O1 0.500 0.738 0.848  0.04
Zr1 0.500 0.503 0.597  -0.08
As1 0.000 0.250 0.846  0.00
Co2 0.000 0.859 0.963  2.11
Zr2 0.500 0.497 0.097  -0.08
As2 0.000 0.750 0.346  0.00
O2 0.500 0.262 0.348  0.03

Properties
Energy above the lowest structure with this stoichiometry (eV per formula unit): 0.93
Crystal system: orthorhombic
Theoretical density (g/cm3): 6.0
SG: Pmc2_1
Raw total energy (eV per cell): -55.56



9.
ZrCoAsO | PBE with a Hubbard U | optimized geometry

abc: 3.659 3.659 8.405
angles: 90.00 90.00 90.00
Site moments in Bohr magnetons follow the coordinates.
Positions (direct):
Zr1 0.000 0.500 0.851  0.00
As1 0.500 0.000 0.697  0.05
As2 0.000 0.500 0.303  0.05
O1 0.000 0.000 0.000  0.01
Co1 0.000 0.000 0.500  1.86
Zr2 0.500 0.000 0.149  0.00
O2 0.500 0.500 0.000  0.01
Co2 0.500 0.500 0.500  1.86

Properties
Energy above the lowest structure with this stoichiometry (eV per formula unit): 0.00
Crystal system: tetragonal
Theoretical density (g/cm3): 7.1
SG: P4/nmm
Raw total energy (eV per cell): -57.41



10.
ZrCoAsO | PBE with a Hubbard U | optimized geometry

abc: 4.237 5.544 5.541
angles: 90.00 90.00 90.00
Site moments in Bohr magnetons follow the coordinates.
Positions (direct):
O1 0.500 0.731 0.910  0.06
Co1 0.500 0.378 0.047  1.94
Zr1 0.000 0.271 0.397  -0.07
As1 0.000 0.233 0.900  0.01
As2 0.000 0.767 0.400  0.02
Zr2 0.000 0.729 0.897  -0.07
Co2 0.500 0.622 0.547  1.96
O2 0.500 0.269 0.410  0.06

Properties
Energy above the lowest structure with this stoichiometry (eV per formula unit): 0.63
Crystal system: orthorhombic
Theoretical density (g/cm3): 6.2
SG: Pmc2_1
Raw total energy (eV per cell): -56.15



11.
ZrCoAsO | PBE with a Hubbard U | optimized geometry

abc: 4.223 4.223 9.098
angles: 90.00 90.00 90.00
Positions (direct):
Co1 0.750 0.750 0.006
Zr1 0.250 0.750 0.500
O1 0.750 0.250 0.000
Zr2 0.750 0.250 0.500
As1 0.250 0.250 0.678
As2 0.750 0.750 0.322
Co2 0.250 0.250 0.994
O2 0.250 0.750 0.000

Properties
Energy above the lowest structure with this stoichiometry (eV per formula unit): 3.80
Crystal system: tetragonal
Theoretical density (g/cm3): 4.9
SG: P4/nmm
Raw total energy (eV per cell): -49.82